Zn2InPb2 | meta-GGA SCAN | PBEsol geometry

a b c (Å): 6.762 6.762 6.762
angles (deg): 140.30 140.30 57.41
Atoms (fractional coordinates):
Zn1 0.099 0.099 0.000
Zn2 0.901 0.901 0.000
In1 0.500 0.500 0.000
Pb1 0.250 0.750 0.500
Pb2 0.750 0.250 0.500

Output
- Volume: 25.0 Å³ per atom
- Relative energy among the computed polymorphs: 0.055 eV/atom
- Energy of formation from the pure elements: 0.188 eV/atom